{"formula": "Ac4CoTeI2", "functional": "PBE", "state": "relaxed", "lattice": [[8.5126, 0.0000, 0.0000], [0.0000, 4.3417, 0.0000], [-2.3724, 0.0000, 8.4018]], "species": ["Ac", "Ac", "Ac", "Ac", "Co", "Te", "I", "I"], "fractional_positions": [[0.1893, 0.0000, 0.1817], [0.2254, 0.5000, 0.7964], [0.7746, 0.5000, 0.2036], [0.8107, 0.0000, 0.8183], [0.0000, 0.5000, 0.0000], [0.5000, 0.0000, 0.0000], [0.0000, 0.0000, 0.5000], [0.5000, 0.5000, 0.5000]], "m_tot_mub_per_fu": 0.00, "e_form_raw_ev_per_fu": -7.1, "e_tot_ev_per_cell": -36.90, "crystal_system": "monoclinic"}